VASP calculation (PBE+U) on a relaxed structure of Zr2MoP2O12.

Structure (CIF):
```
data_Zr2MoP2O12
_symmetry_space_group_name_H-M 'P 1'
_symmetry_Int_Tables_number 1
_symmetry_space_group_name_Hall 'P 1'
_cell_length_a 12.590
_cell_length_b 9.339
_cell_length_c 9.498
_cell_angle_alpha 90.00
_cell_angle_beta 90.00
_cell_angle_gamma 90.00
loop_
_atom_site_label
_atom_site_type_symbol
_atom_site_fract_x
_atom_site_fract_y
_atom_site_fract_z
Zr1 Zr 0.129 0.226 0.047
Zr2 Zr 0.129 0.774 0.547
Zr3 Zr 0.371 0.274 0.547
Zr4 Zr 0.371 0.726 0.047
Zr5 Zr 0.629 0.274 0.953
Zr6 Zr 0.629 0.726 0.453
Zr7 Zr 0.871 0.226 0.453
Zr8 Zr 0.871 0.774 0.953
Mo1 Mo 0.000 0.462 0.750
Mo2 Mo 0.000 0.538 0.250
Mo3 Mo 0.500 0.038 0.250
Mo4 Mo 0.500 0.962 0.750
P1 P 0.143 0.119 0.396
P2 P 0.143 0.881 0.896
P3 P 0.357 0.381 0.896
P4 P 0.357 0.619 0.396
P5 P 0.643 0.381 0.604
P6 P 0.643 0.619 0.104
P7 P 0.857 0.119 0.104
P8 P 0.857 0.881 0.604
O1 O 0.030 0.172 0.423
O2 O 0.030 0.828 0.923
O3 O 0.071 0.350 0.871
O4 O 0.071 0.650 0.371
O5 O 0.092 0.426 0.158
O6 O 0.092 0.574 0.658
O7 O 0.151 0.043 0.931
O8 O 0.151 0.957 0.431
O9 O 0.172 0.142 0.239
O10 O 0.172 0.858 0.739
O11 O 0.221 0.201 0.492
O12 O 0.221 0.799 0.992
O13 O 0.279 0.299 0.992
O14 O 0.279 0.701 0.492
O15 O 0.328 0.358 0.739
O16 O 0.328 0.642 0.239
O17 O 0.349 0.457 0.431
O18 O 0.349 0.543 0.931
O19 O 0.408 0.074 0.658
O20 O 0.408 0.926 0.158
O21 O 0.429 0.150 0.371
O22 O 0.429 0.850 0.871
O23 O 0.470 0.328 0.923
O24 O 0.470 0.672 0.423
O25 O 0.530 0.328 0.577
O26 O 0.530 0.672 0.077
O27 O 0.571 0.150 0.129
O28 O 0.571 0.850 0.629
O29 O 0.592 0.074 0.842
O30 O 0.592 0.926 0.342
O31 O 0.651 0.457 0.069
O32 O 0.651 0.543 0.569
O33 O 0.672 0.358 0.761
O34 O 0.672 0.642 0.261
O35 O 0.721 0.299 0.508
O36 O 0.721 0.701 0.008
O37 O 0.779 0.201 0.008
O38 O 0.779 0.799 0.508
O39 O 0.828 0.142 0.261
O40 O 0.828 0.858 0.761
O41 O 0.849 0.043 0.569
O42 O 0.849 0.957 0.069
O43 O 0.908 0.426 0.342
O44 O 0.908 0.574 0.842
O45 O 0.929 0.350 0.629
O46 O 0.929 0.650 0.129
O47 O 0.970 0.172 0.077
O48 O 0.970 0.828 0.577
```

M_tot: 0.00 Bohr magnetons per cell
DOS(E_F): 0.0 states/eV/f.u.
Space-group type: Pbcn (60)
E: -8.10 eV/atom